An optimized crystal structure of TbNdNi2As2. Source: OQMD via LeMat-Bulk, functional GGA-PBE.

```
TbNdNi2As2
1.0
-3.938 -0.977 0.510
2.559 -2.668 -1.750
1.682 -3.058 7.123
As Nd Ni Tb
2 1 2 1
Direct
0.333 0.667 0.259
0.667 0.333 0.741
0.000 0.000 0.000
0.667 0.333 0.256
0.333 0.667 0.744
0.000 0.000 0.500
```

Properties
* final energy: -6.03 eV per atom

---

An optimized crystal structure of NdNpAs. Source: OQMD via LeMat-Bulk, functional GGA-PBE.

```
NdNpAs
1.0
-1.607 3.312 3.285
-2.287 4.092 -1.540
-4.841 0.559 0.773
As Nd Np
1 1 1
Direct
0.000 0.000 0.000
0.250 0.250 0.250
0.750 0.750 0.750
```

Properties
* final energy: -7.69 eV per atom

---

An optimized crystal structure of NdAsO4. Source: OQMD via LeMat-Bulk, functional GGA-PBE.

```
NdAsO4
1.0
-2.558 2.558 5.797
2.558 -2.558 5.797
2.558 2.558 -5.797
As Nd O
2 2 8
Direct
0.500 0.500 0.000
0.250 0.750 0.500
0.000 0.000 0.000
0.750 0.250 0.500
0.671 0.284 0.112
0.034 0.422 0.113
0.716 0.828 0.387
0.079 0.966 0.388
0.578 0.691 0.612
0.441 0.329 0.613
0.309 0.921 0.887
0.172 0.559 0.888
```

Properties
* final energy: -7.19 eV per atom

---

An optimized crystal structure of NdAs2O. Source: OQMD via LeMat-Bulk, functional GGA-PBE.

```
NdAs2O
1.0
4.357 0.000 0.000
0.000 4.357 0.000
0.000 0.000 8.530
As Nd O
4 2 2
Direct
0.750 0.750 0.323
0.750 0.250 0.500
0.250 0.750 0.500
0.250 0.250 0.677
0.250 0.250 0.118
0.750 0.750 0.882
0.750 0.250 0.000
0.250 0.750 0.000
```

Properties
* final energy: -6.08 eV per atom

---

An optimized crystal structure of Nd2As4O9. Source: OQMD via LeMat-Bulk, functional GGA-PBE.

```
Nd2As4O9
1.0
6.851 -0.017 0.035
-1.913 7.400 -0.015
-2.219 -1.758 8.979
As Nd O
8 4 18
Direct
0.313 0.358 0.216
0.253 0.924 0.223
0.675 0.761 0.428
0.822 0.236 0.448
0.178 0.764 0.552
0.325 0.239 0.572
0.747 0.076 0.777
0.687 0.642 0.784
0.777 0.468 0.093
0.750 0.946 0.121
0.250 0.054 0.879
0.223 0.532 0.907
0.408 0.333 0.053
0.345 0.869 0.063
0.128 0.463 0.135
0.137 0.106 0.151
0.998 0.776 0.182
0.617 0.662 0.240
0.762 0.252 0.259
0.814 0.989 0.394
0.107 0.330 0.494
0.893 0.670 0.506
0.186 0.011 0.606
0.238 0.748 0.741
0.383 0.338 0.760
0.002 0.224 0.818
0.863 0.894 0.849
0.872 0.537 0.865
0.655 0.131 0.937
0.592 0.667 0.947
```

Properties
* final energy: -6.87 eV per atom

---

An optimized crystal structure of NdAs2O. Source: OQMD via LeMat-Bulk, functional GGA-PBE.

```
NdAs2O
1.0
4.703 0.000 0.000
0.000 4.703 0.000
0.000 0.000 6.876
As Nd O
4 2 2
Direct
0.000 0.500 0.356
0.000 0.000 0.500
0.500 0.500 0.500
0.500 0.000 0.644
0.500 0.000 0.119
0.000 0.500 0.881
0.000 0.000 0.000
0.500 0.500 0.000
```

Properties
* final energy: -6.13 eV per atom

---

An optimized crystal structure of NdAsO4. Source: OQMD via LeMat-Bulk, functional GGA-PBE.

```
NdAsO4
1.0
-0.756 -5.524 -3.700
1.671 -3.997 5.627
-6.235 1.202 2.706
As Nd O
4 4 16
Direct
0.887 0.162 0.198
0.613 0.662 0.302
0.387 0.338 0.698
0.113 0.838 0.802
0.403 0.152 0.220
0.097 0.652 0.280
0.903 0.348 0.720
0.597 0.848 0.780
0.667 0.108 0.015
0.003 0.345 0.106
0.727 0.714 0.114
0.077 0.995 0.249
0.423 0.495 0.251
0.773 0.214 0.386
0.497 0.845 0.394
0.833 0.608 0.485
0.167 0.392 0.515
0.503 0.155 0.606
0.227 0.786 0.614
0.577 0.505 0.749
0.923 0.005 0.751
0.273 0.286 0.886
0.997 0.655 0.894
0.333 0.892 0.985
```

Properties
* final energy: -7.18 eV per atom

---

An optimized crystal structure of Nd2As2O5. Source: OQMD via LeMat-Bulk, functional GGA-PBE.

```
Nd2As2O5
1.0
9.770 0.000 0.000
0.000 3.758 0.000
0.000 0.000 3.758
As Nd O
2 2 5
Direct
0.000 0.000 0.000
0.500 0.000 0.000
0.255 0.500 0.500
0.745 0.500 0.500
0.127 0.500 0.000
0.873 0.500 0.000
0.127 0.000 0.500
0.873 0.000 0.500
0.500 0.500 0.500
```

Properties
* final energy: -6.49 eV per atom

---

An optimized crystal structure of Nd2As2O5. Source: OQMD via LeMat-Bulk, functional GGA-PBE.

```
Nd2As2O5
1.0
-5.477 1.467 -4.110
-2.574 -1.206 2.999
-0.080 3.856 1.482
As Nd O
2 2 5
Direct
0.215 0.500 0.500
0.785 0.500 0.500
0.000 0.000 0.000
0.500 0.000 0.000
0.240 0.500 0.000
0.760 0.500 0.000
0.240 0.000 0.500
0.760 0.000 0.500
0.500 0.500 0.500
```

Properties
* final energy: -6.59 eV per atom

---

An optimized crystal structure of NdAs2O. Source: OQMD via LeMat-Bulk, functional GGA-PBE.

```
NdAs2O
1.0
4.382 0.000 0.000
0.000 6.295 0.000
0.000 0.000 6.457
As Nd O
4 2 2
Direct
0.500 0.364 0.063
0.000 0.775 0.421
0.500 0.636 0.563
0.000 0.225 0.921
0.000 0.259 0.452
0.000 0.741 0.952
0.500 0.225 0.318
0.500 0.775 0.818
```

Properties
* final energy: -5.97 eV per atom

---

- Which of these has the highest final energy?
  number 10

---

- Which formula does entry 6 have?
  NdAs2O

---

Repeat the eighth record exactly.
An optimized crystal structure of Nd2As2O5. Source: OQMD via LeMat-Bulk, functional GGA-PBE.

```
Nd2As2O5
1.0
9.770 0.000 0.000
0.000 3.758 0.000
0.000 0.000 3.758
As Nd O
2 2 5
Direct
0.000 0.000 0.000
0.500 0.000 0.000
0.255 0.500 0.500
0.745 0.500 0.500
0.127 0.500 0.000
0.873 0.500 0.000
0.127 0.000 0.500
0.873 0.000 0.500
0.500 0.500 0.500
```

Properties
* final energy: -6.49 eV per atom